(1)
Below is an optimized crystal structure of Ca2Ga2Rh5Pb, with properties calculated at the PBE-GGA level.

Computed properties:
The calculation puts the total energy at -5.588 eV per atom. The calculation puts the density of states at the Fermi level at 9.563 states/eV/cell. For the formation energy, the calculation gives -0.536 eV per atom. The calculation puts the size of the total moment at 0.000 Bohr magnetons per cell.

```
data_Ca2Ga2Rh5Pb
_chemical_formula_sum 'Ca4 Ga4 Rh10 Pb2'
_cell_length_a 3.603
_cell_length_b 9.959
_cell_length_c 9.959
_cell_angle_alpha 90.00
_cell_angle_beta 90.00
_cell_angle_gamma 90.00
_space_group_name_H-M_alt 'P 1'
_space_group_IT_number 1
loop_
_space_group_symop_operation_xyz
'x,y,z'
loop_
_atom_site_label
_atom_site_fract_x
_atom_site_fract_y
_atom_site_fract_z
_atom_site_occupancy
Ca1 0.000 0.174 0.326 1
Ca2 0.000 0.826 0.674 1
Ca3 0.000 0.326 0.826 1
Ca4 0.000 0.674 0.174 1
Rh1 0.500 0.500 0.000 1
Rh2 0.500 0.568 0.711 1
Rh3 0.500 0.789 0.932 1
Rh4 0.500 0.211 0.068 1
Rh5 0.500 0.711 0.432 1
Rh6 0.500 0.432 0.289 1
Rh7 0.500 0.932 0.211 1
Rh8 0.500 0.000 0.500 1
Rh9 0.500 0.068 0.789 1
Rh10 0.500 0.289 0.568 1
Pb1 0.000 0.000 0.000 1
Pb2 0.000 0.500 0.500 1
Ga1 0.000 0.623 0.877 1
Ga2 0.000 0.377 0.123 1
Ga3 0.000 0.877 0.377 1
Ga4 0.000 0.123 0.623 1
```

***

(2)
Below is an optimized crystal structure of TaCo2Se, with properties calculated at the PBE-GGA level.

Computed properties:
The calculation puts the total energy at -7.268 eV per atom. The calculation puts the density of states at the Fermi level at 3.847 states/eV/cell. The calculation puts the size of the total moment at 0.000 Bohr magnetons per cell.

```
data_TaCo2Se
_chemical_formula_sum 'Ta1 Co2 Se1'
_cell_length_a 4.846
_cell_length_b 4.846
_cell_length_c 4.846
_cell_angle_alpha 135.82
_cell_angle_beta 135.82
_cell_angle_gamma 64.26
_space_group_name_H-M_alt 'P 1'
_space_group_IT_number 1
loop_
_space_group_symop_operation_xyz
'x,y,z'
loop_
_atom_site_label
_atom_site_fract_x
_atom_site_fract_y
_atom_site_fract_z
_atom_site_occupancy
Co1 0.250 0.750 0.500 1
Co2 0.000 0.000 0.000 1
Se1 0.500 0.500 0.000 1
Ta1 0.750 0.250 0.500 1
```

***

(3)
Below is an optimized crystal structure of Er2CuNi12B3, with properties calculated at the PBE-GGA level.

Computed properties:
The calculation puts the total energy at -5.733 eV per atom. The calculation puts the density of states at the Fermi level at 11.487 states/eV/cell. For the formation energy, the calculation gives -0.031 eV per atom. The calculation puts the size of the total moment at 0.000 Bohr magnetons per cell.

```
data_Er2CuNi12B3
_chemical_formula_sum 'Er2 Cu1 Ni12 B3'
_cell_length_a 6.729
_cell_length_b 6.729
_cell_length_c 6.729
_cell_angle_alpha 62.90
_cell_angle_beta 62.90
_cell_angle_gamma 62.90
_space_group_name_H-M_alt 'P 1'
_space_group_IT_number 1
loop_
_space_group_symop_operation_xyz
'x,y,z'
loop_
_atom_site_label
_atom_site_fract_x
_atom_site_fract_y
_atom_site_fract_z
_atom_site_occupancy
Ni1 0.143 0.143 0.570 1
Ni2 0.570 0.143 0.143 1
Ni3 0.729 0.126 0.729 1
Ni4 0.271 0.874 0.271 1
Ni5 0.126 0.729 0.729 1
Ni6 0.430 0.857 0.857 1
Ni7 0.729 0.729 0.126 1
Ni8 0.857 0.430 0.857 1
Ni9 0.271 0.271 0.874 1
Ni10 0.857 0.857 0.430 1
Ni11 0.874 0.271 0.271 1
Ni12 0.143 0.570 0.143 1
Cu1 0.000 0.000 0.000 1
Er1 0.406 0.406 0.406 1
Er2 0.594 0.594 0.594 1
B1 0.000 0.000 0.500 1
B2 0.500 0.000 0.000 1
B3 0.000 0.500 0.000 1
```